Entry 1:
Density functional theory data (GGA-PBE) for crystalline KBeAl2 at its relaxed geometry.

Summary:
Fermi-level density of states ... 0.5748 states/eV per atom
ΔE_f ... 631 meV per atom
SG ... No. 44
Volume ... 23.92 Å³/atom

a b c (Å): 5.2400 5.2400 5.2400
angles (deg): 130.50 113.46 87.28
Atoms (fractional coordinates):
K 0.0000 0.0000 0.0000
Be 0.3413 0.8413 0.5000
Al 0.4399 0.4399 0.0000
Al 0.6819 0.1819 0.5000

Entry 2:
Density functional theory data (GGA-PBE) for crystalline K3BeAl at its relaxed geometry.

Summary:
Fermi-level density of states ... 0.6387 states/eV per atom
ΔE_f ... 857 meV per atom
SG ... No. 221
Volume ... 48.75 Å³/atom

a b c (Å): 6.2466 6.2466 6.2466
angles (deg): 90.00 90.00 90.00
Atoms (fractional coordinates):
K 0.0000 0.0000 0.5000
K 0.0000 0.5000 0.0000
K 0.5000 0.0000 0.0000
Be 0.0000 0.0000 0.0000
Al 0.5000 0.5000 0.5000

Entry 3:
Density functional theory data (GGA-PBE) for crystalline KBeAl2 at its relaxed geometry.

Summary:
Fermi-level density of states ... 0.2491 states/eV per atom
ΔE_f ... 391 meV per atom
SG ... No. 99
Volume ... 21.08 Å³/atom

a b c (Å): 3.2503 3.2503 7.9801
angles (deg): 90.00 90.00 90.00
Atoms (fractional coordinates):
K 0.0000 0.0000 0.0000
Be 0.5000 0.5000 0.6686
Al 0.0000 0.0000 0.5605
Al 0.5000 0.5000 0.3430

Entry 4:
Density functional theory data (GGA-PBE) for crystalline KBeAl2 at its relaxed geometry.

Summary:
Fermi-level density of states ... 0.4884 states/eV per atom
ΔE_f ... 496 meV per atom
SG ... No. 71
Volume ... 21.01 Å³/atom

a b c (Å): 6.1931 6.1931 6.1931
angles (deg): 154.23 124.97 61.73
Atoms (fractional coordinates):
K 0.0000 0.0000 0.0000
Be 0.5000 0.5000 0.0000
Al 0.3067 0.8067 0.5000
Al 0.6933 0.1933 0.5000

Entry 5:
Density functional theory data (GGA-PBE) for crystalline KBe2AlSe at its relaxed geometry.

Summary:
Fermi-level density of states ... 0.1742 states/eV per atom
ΔE_f (raw) ... 0.6804 eV per atom
SG ... No. 123
Volume ... 24.99 Å³/atom

a b c (Å): 4.5476 4.5476 6.0410
angles (deg): 90.00 90.00 90.00
Atoms (fractional coordinates):
K 0.0000 0.0000 0.0000
Be 0.0000 0.5000 0.5000
Be 0.5000 0.0000 0.5000
Al 0.0000 0.0000 0.5000
Se 0.5000 0.5000 0.0000

Entry 6:
Density functional theory data (GGA-PBE) for crystalline KBeAlTc2 at its relaxed geometry.

Summary:
Fermi-level density of states ... 0.7682 states/eV per atom
ΔE_f ... 1843 meV per atom
SG ... No. 123
Volume ... 24.33 Å³/atom

a b c (Å): 4.7268 4.7268 5.4442
angles (deg): 90.00 90.00 90.00
Atoms (fractional coordinates):
K 0.0000 0.0000 0.0000
Be 0.5000 0.5000 0.0000
Al 0.0000 0.0000 0.5000
Tc 0.0000 0.5000 0.5000
Tc 0.5000 0.0000 0.5000

Entry 7:
Density functional theory data (GGA-PBE) for crystalline KTi2BeAl at its relaxed geometry.

Summary:
Fermi-level density of states ... 1.1022 states/eV per atom
ΔE_f ... 1049 meV per atom
SG ... No. 123
Volume ... 22.61 Å³/atom

a b c (Å): 4.6447 4.6447 5.2402
angles (deg): 90.00 90.00 90.00
Atoms (fractional coordinates):
K 0.0000 0.0000 0.0000
Ti 0.0000 0.5000 0.5000
Ti 0.5000 0.0000 0.5000
Be 0.0000 0.0000 0.5000
Al 0.5000 0.5000 0.0000

Entry 8:
Density functional theory data (GGA-PBE) for crystalline La4BeAl at its relaxed geometry.

Summary:
Fermi-level density of states ... 1.4312 states/eV per atom
ΔE_f ... 623 meV per atom
SG ... No. 216
Volume ... 30.72 Å³/atom

a b c (Å): 6.3879 6.3879 6.3879
angles (deg): 60.00 60.00 60.00
Atoms (fractional coordinates):
La 0.1241 0.1241 0.1241
La 0.1241 0.1241 0.6278
La 0.1241 0.6278 0.1241
La 0.6278 0.1241 0.1241
Be 0.5000 0.5000 0.5000
Al 0.7500 0.7500 0.7500

Look up the volume of the eighth one.
30.72 Å³/atom